<1>
Density functional theory data (PBE-GGA) for a geometry-optimized ZrPdPbS3 structure.

Calculated values
Calculated volume = 258 Å³/cell
Spin magnetization = 0.00 μB/atom
Symmetry = P2_1/m, No. 11

a b c (Å): 7.532 3.750 9.548
angles (deg): 90.00 107.13 90.00
Sites, in units of the cell vectors:
S (0.722, 0.750, 0.435)
S (0.562, 0.750, 0.868)
S (0.090, 0.750, 0.877)
S (0.910, 0.250, 0.123)
S (0.278, 0.250, 0.565)
S (0.438, 0.250, 0.132)
Zr (0.693, 0.750, 0.162)
Zr (0.307, 0.250, 0.838)
Pd (0.046, 0.750, 0.620)
Pd (0.954, 0.250, 0.380)
Pb (0.761, 0.250, 0.676)
Pb (0.239, 0.750, 0.324)

<2>
Density functional theory data (PBE-GGA) for a geometry-optimized ZrPdPbS3 structure.

Calculated values
Calculated volume = 253 Å³/cell
Spin magnetization = 0.00 μB/atom
Symmetry = Cmcm, No. 63

a b c (Å): 6.909 6.909 10.050
angles (deg): 90.00 90.00 148.24
Sites, in units of the cell vectors:
Zr (0.500, 0.500, 0.000)
Zr (0.500, 0.500, 0.500)
Pb (0.241, 0.759, 0.750)
Pb (0.759, 0.241, 0.250)
S (0.450, 0.550, 0.250)
S (0.550, 0.450, 0.750)
S (0.134, 0.866, 0.018)
S (0.134, 0.866, 0.482)
S (0.866, 0.134, 0.982)
S (0.866, 0.134, 0.518)
Pd (0.906, 0.094, 0.750)
Pd (0.094, 0.906, 0.250)

Which structure is most stable? <1>, by 0.008 eV/atom over the runner-up.

<1>
Density functional theory data (PBE-GGA) for a geometry-optimized ScTe3PdPb structure.

Calculated values
Calculated volume = 338 Å³/cell
Spin magnetization = 0.00 μB/atom
Symmetry = P2_1/m, No. 11

a b c (Å): 8.240 4.089 10.557
angles (deg): 90.00 108.28 90.00
Sites, in units of the cell vectors:
Pd (0.409, 0.250, 0.901)
Pd (0.591, 0.750, 0.099)
Sc (0.207, 0.750, 0.678)
Sc (0.793, 0.250, 0.322)
Te (0.447, 0.250, 0.653)
Te (0.931, 0.250, 0.623)
Te (0.770, 0.250, 0.043)
Te (0.553, 0.750, 0.347)
Te (0.230, 0.750, 0.957)
Te (0.069, 0.750, 0.377)
Pb (0.232, 0.250, 0.213)
Pb (0.768, 0.750, 0.787)

<2>
Density functional theory data (PBE-GGA) for a geometry-optimized ScTe3PdPb structure.

Calculated values
Calculated volume = 330 Å³/cell
Spin magnetization = 0.00 μB/atom
Symmetry = Cmcm, No. 63

a b c (Å): 7.694 7.694 11.039
angles (deg): 90.00 90.00 149.63
Sites, in units of the cell vectors:
Pd (0.954, 0.046, 0.750)
Pd (0.046, 0.954, 0.250)
Te (0.423, 0.577, 0.250)
Te (0.140, 0.860, 0.464)
Te (0.860, 0.140, 0.964)
Te (0.140, 0.860, 0.036)
Te (0.577, 0.423, 0.750)
Te (0.860, 0.140, 0.536)
Sc (0.500, 0.500, 0.500)
Sc (0.500, 0.500, 0.000)
Pb (0.705, 0.295, 0.250)
Pb (0.295, 0.705, 0.750)

Which structure is most stable? <2>, by 0.020 eV/atom over the runner-up.

<1>
Density functional theory data (PBE-GGA) for a geometry-optimized SiPd2Pb structure.

Calculated values
Calculated volume = 152 Å³/cell
Symmetry = P2_1/m, No. 11

a b c (Å): 6.141 3.808 6.521
angles (deg): 90.00 90.08 90.00
Sites, in units of the cell vectors:
Si (0.253, 0.250, 0.600)
Si (0.747, 0.750, 0.400)
Pb (0.246, 0.750, 0.079)
Pb (0.754, 0.250, 0.921)
Pd (0.014, 0.750, 0.676)
Pd (0.487, 0.750, 0.680)
Pd (0.513, 0.250, 0.320)
Pd (0.986, 0.250, 0.324)

<2>
Density functional theory data (PBE-GGA) for a geometry-optimized SiPd2Pb structure.

Calculated values
Calculated volume = 150 Å³/cell
Symmetry = Pmc2_1, No. 26

a b c (Å): 3.821 6.681 5.895
angles (deg): 90.00 90.00 90.00
Sites, in units of the cell vectors:
Si (0.500, 0.613, 0.205)
Si (0.500, 0.387, 0.705)
Pb (0.000, 0.849, 0.830)
Pb (0.000, 0.151, 0.330)
Pd (0.500, 0.880, 0.465)
Pd (0.500, 0.120, 0.965)
Pd (0.000, 0.456, 0.999)
Pd (0.000, 0.544, 0.499)

Which structure is most stable? <1>, by 0.132 eV/atom over the runner-up.

<1>
Density functional theory data (PBE-GGA) for a geometry-optimized TlPdPb structure.

Calculated values
Calculated volume = 286 Å³/cell
Symmetry = Pnma, No. 62

a b c (Å): 7.851 3.905 9.314
angles (deg): 90.00 90.00 90.00
Sites, in units of the cell vectors:
Pd (0.738, 0.250, 0.347)
Pd (0.762, 0.750, 0.847)
Pd (0.262, 0.750, 0.653)
Pd (0.238, 0.250, 0.153)
Pb (0.528, 0.750, 0.166)
Pb (0.028, 0.750, 0.334)
Pb (0.972, 0.250, 0.666)
Pb (0.472, 0.250, 0.834)
Tl (0.850, 0.250, 0.057)
Tl (0.350, 0.250, 0.443)
Tl (0.650, 0.750, 0.557)
Tl (0.150, 0.750, 0.943)

<2>
Density functional theory data (PBE-GGA) for a geometry-optimized TlPdPb structure.

Calculated values
Calculated volume = 140 Å³/cell
Symmetry = Fmmm, No. 69

a b c (Å): 6.889 5.737 5.663
angles (deg): 74.35 53.31 52.33
Sites, in units of the cell vectors:
Pb (0.162, 0.162, 0.838)
Pb (0.838, 0.838, 0.162)
Pd (0.750, 0.750, 0.750)
Pd (0.250, 0.250, 0.250)
Tl (0.334, 0.666, 0.334)
Tl (0.666, 0.334, 0.666)

Which structure is most stable? <2>, by 0.052 eV/atom over the runner-up.